1.
DFT (GGA-PBE) results for TmScBeRu after structural relaxation.

a = 6.5709 Å, b = 6.5709 Å, c = 6.5709 Å
α = 90.00°, β = 90.00°, γ = 90.00°
Closest atoms and distances in Å follow each position.
Space group F-43m (No. 216)
Inequivalent atoms, fractional coordinates:
Tm 0.0000 0.0000 0.0000 (multiplicity 4)  4 Ru 2.85, 4 Be 2.85
Sc 0.0000 0.0000 0.5000 (multiplicity 4)  4 Be 2.85, 4 Ru 2.85
Be 0.2500 0.2500 0.7500 (multiplicity 4)  4 Tm 2.85, 4 Sc 2.85
Ru 0.2500 0.2500 0.2500 (multiplicity 4)  4 Tm 2.85, 4 Sc 2.85

Properties
Uncorrected energy ... -99.34 eV/cell

2.
DFT (GGA-PBE) results for Sc2Be2Ru5W after structural relaxation.

a = 9.4761 Å, b = 9.4761 Å, c = 3.1635 Å
α = 90.00°, β = 90.00°, γ = 90.00°
Closest atoms and distances in Å follow each position.
Space group P4/mbm (No. 127)
Inequivalent atoms, fractional coordinates:
Sc 0.1726 0.3274 0.0000 (multiplicity 4)  3 Be 2.75-2.83, 10 Ru 2.80-3.02
Be 0.1223 0.6223 0.0000 (multiplicity 4)  6 Ru 2.28-2.31
Ru 0.0000 0.5000 0.5000 (multiplicity 2)  4 Be 2.28
Ru 0.0712 0.7922 0.5000 (multiplicity 8)  2 Be 2.31
W 0.0000 0.0000 0.0000 (multiplicity 2)  8 Ru 2.61

Properties
Uncorrected energy ... -166.63 eV/cell

3.
DFT (GGA-PBE) results for Be2RuSe after structural relaxation.

a = 3.1482 Å, b = 4.7092 Å, c = 7.1152 Å
α = 90.00°, β = 90.00°, γ = 90.00°
Closest atoms and distances in Å follow each position.
Space group Cmmm (No. 65)
Inequivalent atoms, fractional coordinates:
Be 0.0000 0.0000 0.2263 (multiplicity 4)  2 Ru 2.25, 2 Se 2.50
Ru 0.0000 0.5000 0.0000 (multiplicity 2)  4 Be 2.25
Se 0.0000 0.5000 0.5000 (multiplicity 2)  4 Be 2.50

Properties
ΔE_f (raw) ... 0.281 eV/atom
Uncorrected energy ... -38.18 eV/cell

4.
DFT (GGA-PBE) results for BeRu2Se after structural relaxation.

a = 3.0268 Å, b = 3.0268 Å, c = 20.3687 Å
α = 90.00°, β = 90.00°, γ = 120.00°
Closest atoms and distances in Å follow each position.
Space group R-3m (No. 166, hexagonal axes)
Inequivalent atoms, fractional coordinates:
Be 0.0000 0.0000 0.0000 (multiplicity 3)  6 Ru 2.29
Ru 0.0000 0.0000 0.2605 (multiplicity 6)  3 Be 2.29
Se 0.0000 0.0000 0.5000 (multiplicity 3)  6 Ru 2.59

Properties
ΔE_f (raw) ... 0.171 eV/atom
Uncorrected energy ... -75.24 eV/cell
Distance to the lowest polymorph of the same formula ... 150.1 meV/atom

Question: Number 3 is which compound?
Answer: Be2RuSe